Entry from Alexandria: a relaxed Ca2ZnCu5Pd2 crystal (GGA-PBE).

The structure in POSCAR format:
```
Ca2ZnCu5Pd2
1.0
9.409 0.000 0.000
0.000 9.409 0.000
0.000 0.000 3.813
Ca Zn Cu Pd
4 2 10 4
Direct
0.173 0.327 0.000
0.327 0.827 0.000
0.673 0.173 0.000
0.827 0.673 0.000
0.000 0.000 0.000
0.500 0.500 0.000
0.000 0.500 0.500
0.055 0.810 0.500
0.190 0.055 0.500
0.310 0.555 0.500
0.445 0.310 0.500
0.500 0.000 0.500
0.555 0.690 0.500
0.690 0.445 0.500
0.810 0.945 0.500
0.945 0.190 0.500
0.128 0.628 0.000
0.372 0.128 0.000
0.628 0.872 0.000
0.872 0.372 0.000
```

Computed properties:
VASP energy (eV/atom): -3.809
E_form (eV/atom): -0.195
Total moment (μB per atom): 0.00